Entry 1:
## Sc3P (PBE)

Data for a geometry-optimized Sc3P structure.

a b c (Å): 4.7405 4.7405 4.7405
angles (deg): 60.00 60.00 60.00
Fractional coordinates of all 4 atoms:
Sc1 0.2500 0.2500 0.2500
Sc2 0.5000 0.5000 0.5000
Sc3 0.7500 0.7500 0.7500
P1 0.0000 0.0000 0.0000

Computed properties:
symmetry	Fm-3m
volume	18.83	A^3/atom
density of states at the Fermi level	1.421	states/eV per atom
energy above the lowest structure with this stoichiometry	0.626	eV per atom
VASP energy	-6.28	eV/atom

Entry 2:
## Sc2P (PBE)

Data for a geometry-optimized Sc2P structure.

a b c (Å): 3.6518 3.6518 5.8084
angles (deg): 90.00 90.00 120.00
Fractional coordinates of all 3 atoms:
Sc1 0.6667 0.3333 0.7457
Sc2 0.3333 0.6667 0.2543
P1 0.0000 0.0000 0.0000

Computed properties:
symmetry	P-3m1
volume	22.36	A^3/atom
density of states at the Fermi level	1.148	states/eV per atom
VASP energy	-6.92	eV/atom

Entry 3:
## Sc2P (PBE)

Data for a geometry-optimized Sc2P structure.

a b c (Å): 4.6201 4.6201 2.8476
angles (deg): 90.00 90.00 120.00
Fractional coordinates of all 3 atoms:
P1 0.0000 0.0000 0.5000
Sc1 0.3333 0.6667 0.0000
Sc2 0.6667 0.3333 0.0000

Computed properties:
symmetry	P6/mmm
volume	17.55	A^3/atom
density of states at the Fermi level	0.985	states/eV per atom
VASP energy	-6.00	eV/atom

Entry 4:
## ScP2 (PBE)

Data for a geometry-optimized ScP2 structure.

a b c (Å): 6.3203 6.3203 6.3203
angles (deg): 90.00 90.00 90.00
Fractional coordinates of all 12 atoms:
P1 0.5975 0.9025 0.9025
P2 0.9025 0.4025 0.9025
P3 0.0975 0.9025 0.5975
P4 0.5975 0.5975 0.4025
P5 0.0975 0.5975 0.0975
P6 0.4025 0.0975 0.0975
P7 0.4025 0.4025 0.5975
P8 0.9025 0.0975 0.4025
Sc1 0.5000 0.0000 0.5000
Sc2 0.0000 0.5000 0.5000
Sc3 0.5000 0.5000 0.0000
Sc4 0.0000 0.0000 0.0000

Computed properties:
symmetry	Pa-3
volume	21.04	A^3/atom
density of states at the Fermi level	0.526	states/eV per atom
VASP energy	-6.25	eV/atom

Entry 5:
## Sc6P7 (PBE)

Data for a geometry-optimized Sc6P7 structure.

a b c (Å): 11.2622 11.2622 11.2622
angles (deg): 26.63 26.63 26.63
Fractional coordinates of all 13 atoms:
P1 0.5000 0.5000 0.5000
P2 0.9348 0.4287 0.4287
P3 0.5713 0.0652 0.5713
P4 0.5713 0.5713 0.0652
P5 0.0652 0.5713 0.5713
P6 0.4287 0.9348 0.4287
P7 0.4287 0.4287 0.9348
Sc1 0.3351 0.3351 0.3351
Sc2 0.6649 0.6649 0.6649
Sc3 0.1979 0.1979 0.1979
Sc4 0.9489 0.9489 0.9489
Sc5 0.8021 0.8021 0.8021
Sc6 0.0511 0.0511 0.0511

Computed properties:
symmetry	R-3m
volume	19.47	A^3/atom
density of states at the Fermi level	0.714	states/eV per atom
VASP energy	-6.45	eV/atom

Entry 6:
## ScP3 (PBE)

Data for a geometry-optimized ScP3 structure.

a b c (Å): 5.0198 5.0198 5.0198
angles (deg): 90.00 90.00 90.00
Fractional coordinates of all 8 atoms:
Sc1 0.5000 0.5000 0.5000
Sc2 0.0000 0.0000 0.0000
P1 0.2500 0.5000 0.0000
P2 0.5000 0.0000 0.2500
P3 0.5000 0.0000 0.7500
P4 0.7500 0.5000 0.0000
P5 0.0000 0.7500 0.5000
P6 0.0000 0.2500 0.5000

Computed properties:
symmetry	Pm-3n
volume	15.81	A^3/atom
density of states at the Fermi level	0.310	states/eV per atom
VASP energy	-5.87	eV/atom

Entry 7:
## ScP3 (PBE)

Data for a geometry-optimized ScP3 structure.

a b c (Å): 5.2488 5.2488 5.0510
angles (deg): 90.00 90.00 103.54
Fractional coordinates of all 8 atoms:
P1 0.1305 0.5028 0.2500
P2 0.8695 0.4972 0.7500
P3 0.5028 0.1305 0.2500
P4 0.9148 0.9148 0.7500
P5 0.4972 0.8695 0.7500
P6 0.0852 0.0852 0.2500
Sc1 0.6690 0.6690 0.2500
Sc2 0.3310 0.3310 0.7500

Computed properties:
symmetry	Cmcm
volume	16.91	A^3/atom
density of states at the Fermi level	0.282	states/eV per atom
VASP energy	-6.18	eV/atom

Entry 8:
## ScP4 (PBE)

Data for a geometry-optimized ScP4 structure.

a b c (Å): 5.3110 5.3110 5.3110
angles (deg): 95.59 95.59 143.63
Fractional coordinates of all 5 atoms:
Sc1 0.0000 0.0000 0.0000
P1 0.3419 0.1994 0.5413
P2 0.6581 0.8006 0.4587
P3 0.8006 0.3419 0.1425
P4 0.1994 0.6581 0.8575

Computed properties:
symmetry	I4/m
volume	16.88	A^3/atom
density of states at the Fermi level	0.511	states/eV per atom
energy above the lowest structure with this stoichiometry	0.000	eV per atom
VASP energy	-5.95	eV/atom

Entry 9:
## ScP2 (PBE)

Data for a geometry-optimized ScP2 structure.

a b c (Å): 5.2424 5.2424 5.2424
angles (deg): 118.40 118.40 92.80
Fractional coordinates of all 6 atoms:
P1 0.6490 0.8510 0.5000
P2 0.8510 0.3510 0.2020
P3 0.3510 0.1490 0.5000
P4 0.1490 0.6490 0.7980
Sc1 0.7500 0.7500 0.0000
Sc2 0.2500 0.2500 0.0000

Computed properties:
symmetry	I4/mcm
volume	17.37	A^3/atom
density of states at the Fermi level	0.335	states/eV per atom
VASP energy	-6.54	eV/atom

Entry 10:
## ScP4 (PBE)

Data for a geometry-optimized ScP4 structure.

a b c (Å): 5.0357 5.0357 5.0357
angles (deg): 109.47 109.47 109.47
Fractional coordinates of all 5 atoms:
P1 0.5000 0.5000 0.5000
P2 0.0000 0.0000 0.5000
P3 0.0000 0.5000 0.0000
P4 0.5000 0.0000 0.0000
Sc1 0.0000 0.0000 0.0000

Computed properties:
symmetry	Im-3m
volume	19.66	A^3/atom
density of states at the Fermi level	0.587	states/eV per atom
energy above the lowest structure with this stoichiometry	0.508	eV per atom
VASP energy	-5.44	eV/atom

Entry 11:
## ScP3 (PBE)

Data for a geometry-optimized ScP3 structure.

a b c (Å): 5.1252 5.0563 5.2057
angles (deg): 90.00 90.00 90.00
Fractional coordinates of all 8 atoms:
P1 0.7763 0.0175 0.5000
P2 0.5000 0.4243 0.0000
P3 0.2763 0.9825 0.0000
P4 0.7237 0.9825 0.0000
P5 0.2237 0.0175 0.5000
P6 0.0000 0.5757 0.5000
Sc1 0.5000 0.5483 0.5000
Sc2 0.0000 0.4517 0.0000

Computed properties:
symmetry	Pmmn
volume	16.86	A^3/atom
density of states at the Fermi level	0.331	states/eV per atom
VASP energy	-6.06	eV/atom

Entry 12:
## ScP2 (PBE)

Data for a geometry-optimized ScP2 structure.

a b c (Å): 6.3585 6.3585 5.1921
angles (deg): 90.00 90.00 150.34
Fractional coordinates of all 6 atoms:
P1 0.3701 0.6299 0.2500
P2 0.0064 0.9936 0.2500
P3 0.9936 0.0064 0.7500
P4 0.6299 0.3701 0.7500
Sc1 0.6914 0.3086 0.2500
Sc2 0.3086 0.6914 0.7500

Computed properties:
symmetry	Cmcm
volume	17.31	A^3/atom
density of states at the Fermi level	1.122	states/eV per atom
VASP energy	-6.09	eV/atom

Entry 13:
## ScP2 (PBE)

Data for a geometry-optimized ScP2 structure.

a b c (Å): 11.1513 11.1513 11.1513
angles (deg): 162.64 161.19 25.70
Fractional coordinates of all 6 atoms:
P1 0.8239 0.5739 0.2500
P2 0.9250 0.6750 0.2500
P3 0.0750 0.3250 0.7500
P4 0.1761 0.4261 0.7500
Sc1 0.6255 0.8755 0.7500
Sc2 0.3745 0.1245 0.2500

Computed properties:
symmetry	Imma
volume	22.23	A^3/atom
density of states at the Fermi level	0.367	states/eV per atom
VASP energy	-6.40	eV/atom

Entry 14:
## Sc2P (PBE)

Data for a geometry-optimized Sc2P structure.

a b c (Å): 6.0615 6.0615 5.4888
angles (deg): 90.00 90.00 34.97
Site moments in Bohr magnetons follow the coordinates.
Fractional coordinates of all 6 atoms:
P1 0.9913 0.9913 0.0278  -0.01
P2 0.7309 0.7309 0.5278  -0.01
Sc1 0.3611 0.3611 0.2778  0.26
Sc2 0.6528 0.6528 0.0278  0.05
Sc3 0.3611 0.3611 0.7778  0.26
Sc4 0.0695 0.0695 0.5278  0.05

Computed properties:
symmetry	Cmcm
volume	19.26	A^3/atom
density of states at the Fermi level	0.893	states/eV per atom
VASP energy	-7.02	eV/atom

Entry 15:
## Sc5P2 (PBE)

Data for a geometry-optimized Sc5P2 structure.

a b c (Å): 5.7007 6.9633 7.6438
angles (deg): 96.61 111.89 90.00
Fractional coordinates of all 14 atoms:
P1 0.4225 0.0841 0.2126
P2 0.2099 0.4159 0.7874
P3 0.7901 0.5841 0.2126
P4 0.5775 0.9159 0.7874
Sc1 0.6508 0.8245 0.4541
Sc2 0.6184 0.2500 0.0000
Sc3 0.0248 0.0786 0.8203
Sc4 0.3492 0.1755 0.5459
Sc5 0.9752 0.9214 0.1797
Sc6 0.3816 0.7500 0.0000
Sc7 0.1967 0.6755 0.5459
Sc8 0.8033 0.3245 0.4541
Sc9 0.2045 0.4214 0.1797
Sc10 0.7955 0.5786 0.8203

Computed properties:
symmetry	C2/c
volume	19.96	A^3/atom
density of states at the Fermi level	1.128	states/eV per atom
VASP energy	-6.97	eV/atom

Entry 16:
## ScP3 (PBE)

Data for a geometry-optimized ScP3 structure.

a b c (Å): 3.5493 3.9417 5.1625
angles (deg): 71.34 90.00 90.00
Fractional coordinates of all 4 atoms:
P1 0.5000 0.7500 0.7500
P2 0.0000 0.5872 0.4727
P3 0.0000 0.9128 0.0273
Sc1 0.5000 0.2500 0.2500

Computed properties:
symmetry	P2/m
volume	17.11	A^3/atom
density of states at the Fermi level	0.149	states/eV per atom
VASP energy	-6.10	eV/atom

Entry 17:
## Sc4P3 (PBE)

Data for a geometry-optimized Sc4P3 structure.

a b c (Å): 10.8088 10.8088 10.8088
angles (deg): 160.72 160.72 27.40
Fractional coordinates of all 7 atoms:
Sc1 0.8080 0.8080 0.0000
Sc2 0.4347 0.4347 0.0000
Sc3 0.1920 0.1920 0.0000
Sc4 0.5653 0.5653 0.0000
P1 0.0000 0.0000 0.0000
P2 0.3164 0.3164 0.0000
P3 0.6836 0.6836 0.0000

Computed properties:
symmetry	I4/mmm
volume	19.66	A^3/atom
density of states at the Fermi level	0.603	states/eV per atom
energy above the lowest structure with this stoichiometry	0.138	eV per atom
VASP energy	-7.07	eV/atom

Entry 18:
## Sc3P4 (PBE)

Data for a geometry-optimized Sc3P4 structure.

a b c (Å): 10.7141 10.7141 10.7141
angles (deg): 160.42 160.42 27.82
Fractional coordinates of all 7 atoms:
Sc1 0.0000 0.0000 0.0000
Sc2 0.6894 0.6894 0.0000
Sc3 0.3106 0.3106 0.0000
P1 0.8185 0.8185 0.0000
P2 0.1815 0.1815 0.0000
P3 0.4481 0.4481 0.0000
P4 0.5519 0.5519 0.0000

Computed properties:
symmetry	I4/mmm
volume	19.72	A^3/atom
density of states at the Fermi level	0.251	states/eV per atom
energy above the lowest structure with this stoichiometry	0.000	eV per atom
VASP energy	-6.80	eV/atom

Entry 19:
## Sc4P5 (PBE)

Data for a geometry-optimized Sc4P5 structure.

a b c (Å): 6.7670 6.7670 6.7670
angles (deg): 94.76 94.76 146.50
Fractional coordinates of all 9 atoms:
P1 0.0000 0.0000 0.0000
P2 0.6964 0.3036 0.0000
P3 0.6964 0.6964 0.3927
P4 0.3036 0.3036 0.6073
P5 0.3036 0.6964 0.0000
Sc1 0.0000 0.2720 0.2720
Sc2 0.0000 0.7280 0.7280
Sc3 0.2720 0.0000 0.2720
Sc4 0.7280 0.0000 0.7280

Computed properties:
symmetry	I4/mmm
volume	18.20	A^3/atom
density of states at the Fermi level	0.447	states/eV per atom
energy above the lowest structure with this stoichiometry	0.172	eV per atom
VASP energy	-6.65	eV/atom

Entry 20:
## Sc4P3 (PBE)

Data for a geometry-optimized Sc4P3 structure.

a b c (Å): 5.3450 5.3450 4.9210
angles (deg): 90.00 90.00 120.00
Site moments in Bohr magnetons follow the coordinates.
Fractional coordinates of all 7 atoms:
P1 0.0000 0.5000 0.0000  -0.01
P2 0.5000 0.0000 0.0000  -0.01
P3 0.5000 0.5000 0.0000  -0.01
Sc1 0.0000 0.0000 0.2460  0.23
Sc2 0.0000 0.0000 0.7540  0.23
Sc3 0.6667 0.3333 0.5000  0.01
Sc4 0.3333 0.6667 0.5000  0.01

Computed properties:
symmetry	P6/mmm
volume	17.39	A^3/atom
density of states at the Fermi level	0.218	states/eV per atom
energy above the lowest structure with this stoichiometry	0.718	eV per atom
VASP energy	-6.49	eV/atom